Entry from Alexandria via LeMat-Bulk: a relaxed structure of AcPd2 (PBE).

Output
distance to the lowest polymorph of the same formula = 150 meV/atom
calculated formation energy = -0.617 eV/atom
calculated density = 10.11 Mg/m³

```
data_AcPd2
_chemical_formula_sum 'Ac2 Pd4'
_symmetry_space_group_name_H-M 'C 1 2/m 1'
_symmetry_Int_Tables_number 12
_cell_length_a 5.871
_cell_length_b 5.516
_cell_length_c 4.871
_cell_angle_alpha 90.00
_cell_angle_beta 113.64
_cell_angle_gamma 90.00
loop_
_symmetry_equiv_pos_as_xyz
'x,y,z'
'-x,-y,-z'
'-x,y,-z'
'x,-y,z'
'x+1/2,y+1/2,z'
'-x+1/2,-y+1/2,-z'
'-x+1/2,y+1/2,-z'
'x+1/2,-y+1/2,z'
loop_
_atom_site_label
_atom_site_fract_x
_atom_site_fract_y
_atom_site_fract_z
Ac1 0.000 0.000 0.000
Pd1 0.125 0.500 0.318
```

=====

Entry from Alexandria via LeMat-Bulk: a relaxed structure of ErAgPb2 (PBE).

Output
calculated formation energy = -0.076 eV/atom
calculated density = 10.96 Mg/m³

```
data_ErAgPb2
_chemical_formula_sum 'Er1 Ag1 Pb2'
_symmetry_space_group_name_H-M 'P 4/m m m'
_symmetry_Int_Tables_number 123
_symmetry_space_group_name_Hall '-P 4 2'
_cell_length_a 3.752
_cell_length_b 3.752
_cell_length_c 7.421
_cell_angle_alpha 90.00
_cell_angle_beta 90.00
_cell_angle_gamma 90.00
loop_
_atom_site_label
_atom_site_fract_x
_atom_site_fract_y
_atom_site_fract_z
Er1 0.000 0.000 0.000
Ag1 0.000 0.000 0.500
Pb1 0.500 0.500 0.269
```

=====

Entry from Alexandria via LeMat-Bulk: a relaxed structure of PrDyLuAl (PBE).

Output
calculated formation energy = -0.073 eV/atom
calculated density = 7.60 Mg/m³

```
data_PrDyLuAl
_chemical_formula_sum 'Pr4 Dy4 Lu4 Al4'
_symmetry_space_group_name_H-M 'F -4 3 m'
_symmetry_Int_Tables_number 216
_symmetry_space_group_name_Hall 'F -4 2 3'
_cell_length_a 7.616
_cell_length_b 7.616
_cell_length_c 7.616
_cell_angle_alpha 90.00
_cell_angle_beta 90.00
_cell_angle_gamma 90.00
loop_
_atom_site_label
_atom_site_fract_x
_atom_site_fract_y
_atom_site_fract_z
Pr1 0.000 0.000 0.000
Dy1 0.000 0.000 0.500
Lu1 0.250 0.250 0.250
Al1 0.250 0.250 0.750
```

=====

Entry from Alexandria via LeMat-Bulk: a relaxed structure of Er3GaHg (PBE).

Output
calculated formation energy = -0.336 eV/atom
calculated density = 9.91 Mg/m³

```
data_Er3GaHg
_chemical_formula_sum 'Er24 Ga8 Hg8'
_symmetry_space_group_name_H-M 'C 1 2/c 1'
_symmetry_Int_Tables_number 15
_cell_length_a 17.001
_cell_length_b 9.504
_cell_length_c 6.447
_cell_angle_alpha 90.00
_cell_angle_beta 96.73
_cell_angle_gamma 90.00
loop_
_symmetry_equiv_pos_as_xyz
'x,y,z'
'-x,-y,-z'
'-x,y,-z+1/2'
'x,-y,z+1/2'
'x+1/2,y+1/2,z'
'-x+1/2,-y+1/2,-z'
'-x+1/2,y+1/2,-z+1/2'
'x+1/2,-y+1/2,z+1/2'
loop_
_atom_site_label
_atom_site_fract_x
_atom_site_fract_y
_atom_site_fract_z
Er1 0.061 0.244 0.024
Er2 0.152 0.104 0.590
Er3 0.165 0.458 0.500
Ga1 0.231 0.194 0.175
Hg1 0.000 0.002 0.750
Hg2 0.000 0.499 0.750
```

=====

Entry from Alexandria via LeMat-Bulk: a relaxed structure of NdEr2Tm7 (PBE).

Output
distance to the lowest polymorph of the same formula = 692 meV/atom
calculated formation energy = 0.718 eV/atom
calculated density = 7.19 Mg/m³

```
data_NdEr2Tm7
_chemical_formula_sum 'Nd2 Er4 Tm14'
_symmetry_space_group_name_H-M 'C m m m'
_symmetry_Int_Tables_number 65
_symmetry_space_group_name_Hall '-C 2 2'
_cell_length_a 8.658
_cell_length_b 16.022
_cell_length_c 5.529
_cell_angle_alpha 90.00
_cell_angle_beta 90.00
_cell_angle_gamma 90.00
loop_
_atom_site_label
_atom_site_fract_x
_atom_site_fract_y
_atom_site_fract_z
Nd1 0.000 0.000 0.000
Er1 0.000 0.297 0.500
Tm1 0.000 0.213 0.000
Tm2 0.000 0.500 0.500
Tm3 0.176 0.115 0.500
```

=====

Entry from Alexandria via LeMat-Bulk: a relaxed structure of HgPbO3 (PBE).

Output
total energy = -21.5 eV per formula unit
calculated density = 7.63 Mg/m³

```
data_HgPbO3
_chemical_formula_sum 'Hg4 Pb4 O12'
_symmetry_space_group_name_H-M 'P 1 21/c 1'
_symmetry_Int_Tables_number 14
_cell_length_a 5.785
_cell_length_b 6.084
_cell_length_c 11.831
_cell_angle_alpha 90.00
_cell_angle_beta 107.75
_cell_angle_gamma 90.00
loop_
_symmetry_equiv_pos_as_xyz
'x,y,z'
'-x,-y,-z'
'-x,y+1/2,-z+1/2'
'x,-y+1/2,z+1/2'
loop_
_atom_site_label
_atom_site_fract_x
_atom_site_fract_y
_atom_site_fract_z
Hg1 0.229 0.185 0.455
Pb1 0.365 0.664 0.242
O1 0.003 0.741 0.708
O2 0.454 0.086 0.618
O3 0.476 0.590 0.635
```

=====

Entry from Alexandria via LeMat-Bulk: a relaxed structure of Cs2TbBr6 (PBE).

Output
total energy = -30.7 eV per formula unit
calculated density = 4.18 Mg/m³

```
data_Cs2TbBr6
_chemical_formula_sum 'Cs4 Tb2 Br12'
_symmetry_space_group_name_H-M 'P 63 m c'
_symmetry_Int_Tables_number 186
_symmetry_space_group_name_Hall 'P 6c -2c'
_cell_length_a 7.9836
_cell_length_b 7.9836
_cell_length_c 13.0016
_cell_angle_alpha 90.00
_cell_angle_beta 90.00
_cell_angle_gamma 120.00
loop_
_atom_site_label
_atom_site_fract_x
_atom_site_fract_y
_atom_site_fract_z
Cs1 0.0000 0.0000 0.0000
Cs2 0.3333 0.6667 0.2561
Tb1 0.3333 0.6667 0.6340
Br1 0.0045 0.5022 0.5072
Br2 0.1637 0.3274 0.7528
```

=====

Entry from Alexandria via LeMat-Bulk: a relaxed structure of Y6TlGe2Se3 (PBE).

Output
total energy = -76.0 eV per formula unit
calculated density = 6.01 Mg/m³

```
data_Y6TlGe2Se3
_chemical_formula_sum 'Y12 Tl2 Ge4 Se6'
_symmetry_space_group_name_H-M 'C 1 2/m 1'
_symmetry_Int_Tables_number 12
_cell_length_a 18.392
_cell_length_b 4.147
_cell_length_c 8.447
_cell_angle_alpha 90.00
_cell_angle_beta 106.17
_cell_angle_gamma 90.00
loop_
_symmetry_equiv_pos_as_xyz
'x,y,z'
'-x,-y,-z'
'-x,y,-z'
'x,-y,z'
'x+1/2,y+1/2,z'
'-x+1/2,-y+1/2,-z'
'-x+1/2,y+1/2,-z'
'x+1/2,-y+1/2,z'
loop_
_atom_site_label
_atom_site_fract_x
_atom_site_fract_y
_atom_site_fract_z
Y1 0.000 0.000 0.235
Y2 0.171 0.500 0.071
Y3 0.172 0.500 0.591
Tl1 0.000 0.500 0.500
Ge1 0.164 0.000 0.826
Se1 0.000 0.500 0.000
Se2 0.167 0.000 0.328
```